Record 1
VASP calculation (PBE) on HfGa2Mo after structural relaxation.

SG ... F-43m
Magnetization ... 0.00 μB per formula unit
Crystal system ... cubic
Raw total energy ... -6.59 eV per atom

The structure in POSCAR format:
```
HfGa2Mo
1.0
4.156 -1.733 0.841
1.772 0.241 4.217
0.430 -3.799 2.524
Ga Mo Hf
2 1 1
Cartesian
0.000 0.000 0.000 Ga
1.590 -1.323 1.896 Ga
4.769 -3.968 5.687 Mo
3.179 -2.645 3.791 Hf
```

---

Record 2
VASP calculation (PBE) on LaBiIrAu after structural relaxation.

SG ... F-43m
ΔE to the lowest computed polymorph ... 126 meV per atom
Magnetization ... 0.00 μB per formula unit
Crystal system ... cubic
Raw total energy ... -5.49 eV per atom

The structure in POSCAR format:
```
LaBiIrAu
1.0
-4.141 -2.316 1.715
-2.273 1.667 4.184
-4.483 2.294 -0.307
Ir La Bi Au
1 1 1 1
Cartesian
0.000 0.000 0.000 Ir
-5.449 0.822 2.796 La
-2.724 0.411 1.398 Bi
-8.173 1.234 4.194 Au
```

---

Record 3
VASP calculation (PBE) on HfCuOs after structural relaxation.

SG ... F-43m
ΔE to the lowest computed polymorph ... 306 meV per atom
Magnetization ... 0.00 μB per formula unit
Crystal system ... cubic
Raw total energy ... -7.73 eV per atom
Formation enthalpy at 0 K ... 0.567 eV per atom

The structure in POSCAR format:
```
HfCuOs
1.0
-2.632 0.306 3.404
-1.758 3.801 1.031
-4.222 0.654 -0.591
Hf Os Cu
1 1 1
Cartesian
0.000 0.000 0.000 Hf
-6.460 3.572 2.883 Os
-2.153 1.191 0.961 Cu
```

---

Record 4
VASP calculation (PBE) on LuMgRe2 after structural relaxation.

SG ... F-43m
Magnetization ... 0.01 μB per formula unit
Crystal system ... cubic
Raw total energy ... -7.51 eV per atom

The structure in POSCAR format:
```
LuMgRe2
1.0
0.742 2.396 3.869
-3.353 2.628 1.763
-2.086 -1.246 3.919
Lu Mg Re
1 1 2
Cartesian
-2.349 1.889 4.775 Lu
-3.523 2.833 7.163 Mg
0.000 0.000 0.000 Re
-1.174 0.944 2.388 Re
```

---

Across the entries above, density takes the values 10.11; 13.48; 12.65; 13.70 g/cm3, respectively.